# 1
The following is a DFT calculation (meta-GGA SCAN) of a PBEsol-optimized structure of ZrPtI2O.

Values from the calculation:
As for the formation energy (no corrections): -0.5337 eV/atom. The total energy comes out at -36.65 eV per atom. As for the space-group type: P4/mmm (123).

a = 3.8888 Å, b = 5.6370 Å, c = 5.6370 Å
α = 90.00°, β = 90.00°, γ = 90.00°
Closest atoms and distances in Å follow each position.
Fractional positions:
1 Zr 0.0000 0.0000 0.0000  2 O 1.94
2 I 0.0000 0.5000 0.0000  2 Zr 2.82
3 Pt 0.5000 0.5000 0.5000  8 I 3.42
4 I 0.0000 0.0000 0.5000  2 Zr 2.82
5 O 0.5000 0.0000 0.0000  2 Zr 1.94

# 2
The following is a DFT calculation (meta-GGA SCAN) of a PBEsol-optimized structure of CdHg2Pb.

Values from the calculation:
The energy of formation from the pure elements is 0.0472 eV per atom. The total energy comes out at -60.58 eV per atom. As for the space-group type: Immm (71).

a = 3.5149 Å, b = 5.4243 Å, c = 6.0586 Å
α = 116.59°, β = 106.86°, γ = 90.00°
Closest atoms and distances in Å follow each position.
Fractional positions:
1 Hg 0.2363 0.2363 0.4727  2 Cd 2.99, 2 Pb 3.22, 4 Hg 3.24
2 Pb 0.0000 0.5000 0.0000  4 Hg 3.22, 4 Cd 3.23, 2 Pb 3.51
3 Cd 0.5000 0.0000 0.0000  4 Hg 2.99, 4 Pb 3.23
4 Hg 0.7637 0.7637 0.5273  2 Cd 2.99, 2 Pb 3.22, 4 Hg 3.24

# 3
The following is a DFT calculation (meta-GGA SCAN) of a PBEsol-optimized structure of KScBe2.

Values from the calculation:
As for the offset from the most stable computed form: 418.6 meV/atom. The energy of formation from the pure elements is 1.1877 eV per atom. The total energy comes out at -6.63 eV per atom. As for the space-group type: I-42d (122).

a = 5.8273 Å, b = 6.1670 Å, c = 6.1670 Å
α = 77.10°, β = 61.81°, γ = 61.81°
Closest atoms and distances in Å follow each position.
Fractional positions:
1 Be 0.3750 0.5354 0.9646  2 Sc 2.64
2 K 0.2500 0.5000 0.5000  2 Sc 2.91, 4 Be 3.01
3 Be 0.6604 0.9646 0.4646  2 Sc 2.64
4 Sc 0.0000 0.0000 0.0000  4 Be 2.64, 2 K 2.91
5 K 0.5000 0.0000 0.0000  2 Sc 2.91, 4 Be 3.01
6 Be 0.8750 0.4646 0.0354  2 Sc 2.64
7 Be 0.0896 0.0354 0.5354  2 Sc 2.64
8 Sc 0.7500 0.5000 0.5000  4 Be 2.64, 2 K 2.91

# 4
The following is a DFT calculation (meta-GGA SCAN) of a PBEsol-optimized structure of LaCrGe3.

Values from the calculation:
The energy of formation from the pure elements is 1.2117 eV per atom. The total energy comes out at -22.54 eV per atom. As for the space-group type: Pm-3m (221).

a = 5.4618 Å, b = 5.4618 Å, c = 5.4618 Å
α = 90.00°, β = 90.00°, γ = 90.00°
Closest atoms and distances in Å follow each position.
Fractional positions:
1 Cr 0.5000 0.5000 0.5000  12 Ge 3.86
2 Ge 0.0000 0.0000 0.5000  2 La 2.73
3 Ge 0.0000 0.5000 0.0000  2 La 2.73
4 La 0.0000 0.0000 0.0000  6 Ge 2.73
5 Ge 0.5000 0.0000 0.0000  2 La 2.73

# 5
The following is a DFT calculation (meta-GGA SCAN) of a PBEsol-optimized structure of ScHgMo2.

Values from the calculation:
The energy of formation from the pure elements is 0.2677 eV per atom. The total energy comes out at -37.78 eV per atom. As for the space-group type: Cm (8).

a = 2.8225 Å, b = 4.9281 Å, c = 5.2368 Å
α = 94.12°, β = 90.00°, γ = 106.64°
Closest atoms and distances in Å follow each position.
Fractional positions:
1 Sc 0.4906 0.9813 0.4972  7 Mo 2.76-3.08, 3 Hg 2.81-2.90, 2 Sc 2.82
2 Mo 0.0108 0.0217 0.9789  3 Mo 2.60-2.82, 2 Sc 2.88
3 Mo 0.2510 0.5020 0.7669  3 Mo 2.60-2.82, 1 Sc 2.76
4 Hg 0.7475 0.4950 0.2570  3 Sc 2.81-2.90, 2 Hg 2.82, 7 Mo 2.93-3.02

# 6
The following is a DFT calculation (meta-GGA SCAN) of a PBEsol-optimized structure of InSn2Hg.

Values from the calculation:
As for the offset from the most stable computed form: 92.3 meV/atom. The energy of formation from the pure elements is 0.1696 eV per atom. The total energy comes out at -43.18 eV per atom. As for the space-group type: Fm-3m (225).

a = 5.2261 Å, b = 5.2261 Å, c = 5.2261 Å
α = 60.00°, β = 60.00°, γ = 60.00°
Closest atoms and distances in Å follow each position.
Fractional positions:
1 Hg 0.5000 0.5000 0.5000  8 Sn 3.20
2 Sn 0.2500 0.2500 0.2500  4 Hg 3.20, 4 In 3.20
3 In 0.0000 0.0000 0.0000  8 Sn 3.20
4 Sn 0.7500 0.7500 0.7500  4 In 3.20, 4 Hg 3.20

# 7
The following is a DFT calculation (meta-GGA SCAN) of a PBEsol-optimized structure of P2RuS2.

Values from the calculation:
As for the formation energy (no corrections): 0.8785 eV/atom. The total energy comes out at -14.10 eV per atom. As for the space-group type: P4/mmm (123).

a = 4.6138 Å, b = 4.4332 Å, c = 4.4332 Å
α = 90.00°, β = 90.00°, γ = 90.00°
Closest atoms and distances in Å follow each position.
Fractional positions:
1 Ru 0.0000 0.0000 0.0000  4 S 2.22, 2 P 2.31
2 S 0.0000 0.5000 0.0000  2 Ru 2.22
3 P 0.5000 0.5000 0.5000  4 P 3.13, 8 S 3.20
4 S 0.0000 0.0000 0.5000  2 Ru 2.22
5 P 0.5000 0.0000 0.0000  2 Ru 2.31

# 8
The following is a DFT calculation (meta-GGA SCAN) of a PBEsol-optimized structure of Ti3ZnOs.

Values from the calculation:
The energy of formation from the pure elements is 0.9980 eV per atom. The total energy comes out at -25.70 eV per atom. As for the space-group type: Pm-3m (221).

a = 4.4570 Å, b = 4.4570 Å, c = 4.4570 Å
α = 90.00°, β = 90.00°, γ = 90.00°
Closest atoms and distances in Å follow each position.
Fractional positions:
1 Ti 0.0000 0.5000 0.0000  2 Zn 2.23
2 Os 0.5000 0.5000 0.5000  12 Ti 3.15
3 Ti 0.0000 0.0000 0.5000  2 Zn 2.23
4 Zn 0.0000 0.0000 0.0000  6 Ti 2.23
5 Ti 0.5000 0.0000 0.0000  2 Zn 2.23

# 9
The following is a DFT calculation (meta-GGA SCAN) of a PBEsol-optimized structure of TiVZnP3O12.

Values from the calculation:
As for the formation energy (no corrections): -2.5688 eV/atom. The total energy comes out at -11.07 eV per atom. As for the space-group type: R3c (161).

a = 8.4317 Å, b = 8.4317 Å, c = 8.4317 Å
α = 60.89°, β = 60.89°, γ = 60.89°
Closest atoms and distances in Å follow each position.
Fractional positions:
1 V 0.8580 0.8580 0.8580  6 O 1.91-2.01
2 O 0.6817 0.5027 0.8826  1 P 1.54
3 O 0.0543 0.9123 0.2582  1 P 1.56
4 O 0.4390 0.2427 0.5901  1 P 1.55
5 O 0.9390 0.0901 0.7427  1 P 1.55
6 P 0.7506 0.4568 0.0443  4 O 1.52-1.56
7 P 0.4568 0.0443 0.7506  4 O 1.52-1.56
8 O 0.4123 0.5543 0.7582  1 P 1.56
9 O 0.1817 0.3826 0.0027  1 P 1.54
10 O 0.3182 0.5015 0.1147  1 P 1.52
11 O 0.1147 0.3182 0.5015  1 P 1.52
12 P 0.2506 0.5443 0.9568  4 O 1.52-1.56
13 O 0.0027 0.1817 0.3826  1 P 1.54
14 O 0.0901 0.7427 0.9390  1 P 1.55
15 P 0.0443 0.7506 0.4568  4 O 1.52-1.56
16 O 0.6147 0.0015 0.8182  1 P 1.52
17 O 0.8826 0.6817 0.5027  1 P 1.54
18 P 0.5443 0.9568 0.2506  4 O 1.52-1.56
19 V 0.3580 0.3580 0.3580  6 O 1.91-2.01
20 O 0.8182 0.6147 0.0015  1 P 1.52
21 Zn 0.9987 0.9987 0.9987  6 O 2.14-2.16
22 Ti 0.1434 0.1434 0.1434  6 O 1.87-2.04
23 O 0.7582 0.4123 0.5543  1 P 1.56
24 O 0.2582 0.0543 0.9123  1 P 1.56
25 O 0.2427 0.5901 0.4390  1 P 1.55
26 O 0.5015 0.1147 0.3182  1 P 1.52
27 Ti 0.6434 0.6434 0.6434  6 O 1.87-2.04
28 Zn 0.4987 0.4987 0.4987  6 O 2.14-2.16
29 O 0.5901 0.4390 0.2427  1 P 1.55
30 P 0.9568 0.2506 0.5443  4 O 1.52-1.56
31 O 0.9123 0.2582 0.0543  1 P 1.56
32 O 0.3826 0.0027 0.1817  1 P 1.54
33 O 0.7427 0.9390 0.0901  1 P 1.55
34 O 0.5543 0.7582 0.4123  1 P 1.56
35 O 0.5027 0.8826 0.6817  1 P 1.54
36 O 0.0015 0.8182 0.6147  1 P 1.52

# 10
The following is a DFT calculation (meta-GGA SCAN) of a PBEsol-optimized structure of AlCu2Ni.

Values from the calculation:
The energy of formation from the pure elements is -0.3261 eV per atom. The total energy comes out at -13.91 eV per atom. As for the space-group type: F-43m (216).

a = 4.0268 Å, b = 4.0268 Å, c = 4.0268 Å
α = 60.00°, β = 60.00°, γ = 60.00°
Closest atoms and distances in Å follow each position.
Fractional positions:
1 Ni 0.7500 0.7500 0.7500  4 Cu 2.47, 4 Al 2.47
2 Cu 0.2500 0.2500 0.2500  4 Al 2.47, 4 Cu 2.47
3 Al 0.0000 0.0000 0.0000  4 Ni 2.47, 4 Cu 2.47
4 Cu 0.5000 0.5000 0.5000  4 Ni 2.47, 4 Cu 2.47

# 11
The following is a DFT calculation (meta-GGA SCAN) of a PBEsol-optimized structure of SbOs2Au.

Values from the calculation:
As for the formation energy (no corrections): 0.7109 eV/atom. The total energy comes out at -61.83 eV per atom. As for the space-group type: C2/m (12).

a = 2.9892 Å, b = 4.6117 Å, c = 5.0905 Å
α = 101.33°, β = 90.00°, γ = 108.91°
Closest atoms and distances in Å follow each position.
Fractional positions:
1 Sb 0.0000 0.0000 0.5000  6 Os 2.71-2.80, 4 Au 2.95, 2 Sb 2.99
2 Au 0.5000 0.0000 0.0000  6 Os 2.69-2.76, 4 Sb 2.95, 2 Au 2.99
3 Os 0.7450 0.4899 0.7546  3 Au 2.69-2.76, 3 Sb 2.71-2.80, 6 Os 2.90-3.01
4 Os 0.2550 0.5101 0.2454  3 Au 2.69-2.76, 3 Sb 2.71-2.80, 6 Os 2.90-3.01

# 12
The following is a DFT calculation (meta-GGA SCAN) of a PBEsol-optimized structure of ZnFe2Co.

Values from the calculation:
The energy of formation from the pure elements is -0.0316 eV per atom. The total energy comes out at -16.80 eV per atom. As for the space-group type: C2/m (12).

a = 2.8722 Å, b = 3.9545 Å, c = 4.6766 Å
α = 115.16°, β = 107.88°, γ = 90.00°
Closest atoms and distances in Å follow each position.
Fractional positions:
1 Fe 0.7600 0.7600 0.5200  2 Co 2.39, 4 Fe 2.45, 2 Zn 2.52
2 Fe 0.2400 0.2400 0.4800  2 Co 2.39, 4 Fe 2.45, 2 Zn 2.52
3 Zn 0.0000 0.5000 0.0000  4 Co 2.44, 4 Fe 2.52
4 Co 0.5000 0.0000 0.0000  4 Fe 2.39, 4 Zn 2.44